This record from Alexandria describes Ac2AlIn2Au4 after structural relaxation. The functional is PBE.

Total magnetic moment = 0.00 Bohr magnetons per cell
D(E_F) = 3.96 states/eV/cell
Formation energy = -0.5713 eV per atom
Space group = I4/mmm
Calculated total energy = -35.7 eV for the cell shown

Cell: 6.7519 6.7519 6.7519 Å, 117.06 117.06 95.18°
Closest atoms and distances in Å follow each position.
Sites, in units of the cell vectors:
1 Ac 0.2500 0.7500 0.5000  8 Au 3.38, 4 In 3.58
2 Ac 0.7500 0.2500 0.5000  8 Au 3.38, 4 In 3.58
3 Al 0.0000 0.0000 0.0000  4 Au 2.57
4 In 0.3178 0.3178 0.0000  1 Al 2.89, 4 Au 2.93
5 In 0.6822 0.6822 0.0000  1 Al 2.89, 4 Au 2.93
6 Au 0.2579 0.2579 0.5158  1 Al 2.57
7 Au 0.2579 0.7421 0.0000  1 Al 2.57
8 Au 0.7421 0.2579 0.0000  1 Al 2.57
9 Au 0.7421 0.7421 0.4842  1 Al 2.57